First-principles (PBE) data for a relaxed structure of HfSi2Ir2, as listed in the Alexandria database.

## Properties
Raw formation energy: -0.86 eV/atom
Density: 12.98 Mg/m³
Space group: P4/nmm

Unit cell a=3.9907 b=3.9907 c=9.9444 alpha=90.00 beta=90.00 gamma=90.00
Closest atoms and distances in Å follow each position.
Sites, in units of the cell vectors:
Hf  0.2500  0.2500  0.2410  8 Si 3.01-3.26, 8 Ir 3.09-3.12
Hf  0.7500  0.7500  0.7590  8 Si 3.01-3.26, 8 Ir 3.09-3.12
Si  0.2500  0.2500  0.8638  5 Ir 2.30-2.41
Si  0.2500  0.7500  0.5000  4 Ir 2.39
Si  0.7500  0.2500  0.5000  4 Ir 2.39
Si  0.7500  0.7500  0.1362  5 Ir 2.30-2.41
Ir  0.2500  0.2500  0.6324  5 Si 2.30-2.39
Ir  0.2500  0.7500  0.0000  4 Si 2.41
Ir  0.7500  0.2500  0.0000  4 Si 2.41
Ir  0.7500  0.7500  0.3676  5 Si 2.30-2.39